Record 1
Material: CaGaPO2
Method: DFT, GGA-PBE
State: optimized geometry

The calculation puts the uncorrected formation energy at -131 meV/atom. As for the energy relative to the lowest polymorph listed for this composition: 724 meV per atom. As for the crystal system: tetragonal.

The structure belongs to space group P4/mmm (No. 123); the cell edges are 4.2308, 4.2308 and 5.9751 Å and the angles 90.00°, 90.00° and 90.00°. The distinct sites, in fractional coordinates, are Ca at (0.0000, 0.0000, 0.0000), Ga at (0.5000, 0.5000, 0.5000), P at (0.0000, 0.0000, 0.5000) and O at (0.0000, 0.5000, 0.0000).

=====

Record 2
Material: CaGaPO2
Method: DFT, GGA-PBE
State: optimized geometry

The calculation puts the uncorrected formation energy at -855 meV/atom. As for the energy relative to the lowest polymorph listed for this composition: 0 meV per atom. As for the crystal system: tetragonal.

The structure belongs to space group P4/mmm (No. 123); the cell edges are 4.0203, 4.0203 and 4.7782 Å and the angles 90.00°, 90.00° and 90.00°. The distinct sites, in fractional coordinates, are Ca at (0.0000, 0.0000, 0.0000), Ga at (0.5000, 0.5000, 0.5000), P at (0.5000, 0.5000, 0.0000) and O at (0.0000, 0.5000, 0.5000).

=====

Record 3
Material: CaGaP2O8
Method: DFT, GGA-PBE
State: optimized geometry

The calculation puts the uncorrected formation energy at -2184 meV/atom. As for the crystal system: trigonal.

The structure belongs to space group P-3 (No. 147); the cell edges are 5.1442, 5.1442 and 6.6539 Å and the angles 90.00°, 90.00° and 120.00°. The distinct sites, in fractional coordinates, are Ca at (0.0000, 0.0000, 0.0000), Ga at (0.0000, 0.0000, 0.5000), P at (0.3333, 0.6667, 0.7586), O at (0.1626, 0.3363, 0.6898) and O at (0.3333, 0.6667, 0.9906).

=====

Record 4
Material: CaGa2PO
Method: DFT, GGA-PBE
State: optimized geometry

The calculation puts the uncorrected formation energy at 257 meV/atom. As for the crystal system: tetragonal.

The structure belongs to space group P4/mmm (No. 123); the cell edges are 5.7777, 5.7777 and 4.0069 Å and the angles 90.00°, 90.00° and 90.00°. The distinct sites, in fractional coordinates, are Ca at (0.0000, 0.0000, 0.0000), Ga at (0.0000, 0.5000, 0.0000), P at (0.5000, 0.5000, 0.5000) and O at (0.0000, 0.0000, 0.5000).

=====

Record 5
Material: CaPa2GaO8
Method: DFT, GGA-PBE
State: optimized geometry

The calculation puts the uncorrected formation energy at -2883 meV/atom. As for the crystal system: orthorhombic.

The structure belongs to space group Cmmm (No. 65); the cell edges are 6.8280, 7.0483 and 7.0803 Å and the angles 90.00°, 90.00° and 90.00°. The distinct sites, in fractional coordinates, are Ca at (0.0000, 0.0000, 0.0000), Pa at (0.0000, 0.5000, 0.2550), Ga at (0.0000, 0.0000, 0.5000), O at (0.0000, 0.3019, 0.5000), O at (0.0000, 0.3205, 0.0000) and O at (0.1920, 0.0000, 0.2830).

=====

Record 6
Material: CaPaGaO5
Method: DFT, GGA-PBE
State: optimized geometry

The calculation puts the uncorrected formation energy at -2940 meV/atom. As for the crystal system: monoclinic.

The structure belongs to space group C2/c (No. 15); the cell edges are 7.0011, 9.5253 and 7.9323 Å and the angles 90.00°, 112.88° and 90.00°. The distinct sites, in fractional coordinates, are Ca at (0.0000, 0.1597, 0.2500), Pa at (0.0000, 0.5000, 0.0000), Ga at (0.0000, 0.1815, 0.7500), O at (0.0000, 0.4045, 0.2500), O at (0.1247, 0.2983, 0.6340) and O at (0.1754, 0.0531, 0.9160).